# BaLiNpF6, optimized geometry, DFT PBE-GGA
data_BaLiNpF6
_chemical_formula_sum 'Ba1 Li1 Np1 F6'
_cell_length_a 5.7544
_cell_length_b 5.7544
_cell_length_c 5.7337
_cell_angle_alpha 90.00
_cell_angle_beta 90.00
_cell_angle_gamma 120.00
_space_group_name_H-M_alt 'P 3 1 2'
_space_group_IT_number 149
loop_
_space_group_symop_operation_xyz
'x,y,z'
'-y,x-y,z'
'-x+y,-x,z'
'-y,-x,-z'
'-x+y,y,-z'
'x,x-y,-z'
loop_
_atom_site_label
_atom_site_fract_x
_atom_site_fract_y
_atom_site_fract_z
_atom_site_occupancy
Ba1 0.0000 0.0000 0.0000 1
Li1 0.6667 0.3333 0.5000 1
Np1 0.3333 0.6667 0.5000 1
F1 0.3717 0.0206 0.7135 1
# N(E_F): 1.24 states/eV/f.u.
# calculated total energy: -6.52 eV/atom
# volume: 164.4 Å³/cell
# magnetization: 4.000 μB/f.u.

***

# NaPu2TiO8, optimized geometry, DFT PBE-GGA
data_NaPu2TiO8
_chemical_formula_sum 'Na2 Pu4 Ti2 O16'
_cell_length_a 6.717
_cell_length_b 6.942
_cell_length_c 6.801
_cell_angle_alpha 90.00
_cell_angle_beta 90.00
_cell_angle_gamma 90.00
_space_group_name_H-M_alt 'C m m m'
_space_group_IT_number 65
_space_group_name_Hall '-C 2 2'
loop_
_atom_site_label
_atom_site_fract_x
_atom_site_fract_y
_atom_site_fract_z
_atom_site_occupancy
Na1 0.000 0.000 0.000 1
Pu1 0.000 0.500 0.254 1
Ti1 0.000 0.000 0.500 1
O1 0.000 0.291 0.500 1
O2 0.000 0.324 0.000 1
O3 0.201 0.000 0.285 1
# N(E_F): 6.01 states/eV/f.u.
# calculated total energy: -9.04 eV/atom
# volume: 317.1 Å³/cell
# magnetization: 5.000 μB/f.u.

***

# Ho2AgPt, optimized geometry, DFT PBE-GGA
data_Ho2AgPt
_chemical_formula_sum 'Ho6 Ag3 Pt3'
_cell_length_a 4.0879
_cell_length_b 4.0879
_cell_length_c 21.1796
_cell_angle_alpha 90.00
_cell_angle_beta 90.00
_cell_angle_gamma 120.00
_space_group_name_H-M_alt 'R 3 m'
_space_group_IT_number 160
_space_group_name_Hall 'R 3 -2"'
loop_
_atom_site_label
_atom_site_fract_x
_atom_site_fract_y
_atom_site_fract_z
_atom_site_occupancy
Ho1 0.0000 0.0000 0.0000 1
Ho2 0.0000 0.0000 0.1883 1
Ag1 0.0000 0.0000 0.7590 1
Pt1 0.0000 0.0000 0.5952 1
# formation enthalpy at 0 K: -2.78 eV/f.u.
# N(E_F): 2.47 states/eV/f.u.
# calculated total energy: -5.21 eV/atom
# volume: 306.5 Å³/cell
# magnetization: 0.000 μB/f.u.

***

# BaYOs2, optimized geometry, DFT PBE-GGA
data_BaYOs2
_chemical_formula_sum 'Ba4 Y4 Os8'
_cell_length_a 8.127
_cell_length_b 8.127
_cell_length_c 5.737
_cell_angle_alpha 90.00
_cell_angle_beta 90.00
_cell_angle_gamma 90.00
_space_group_name_H-M_alt 'I -4 2 d'
_space_group_IT_number 122
_space_group_name_Hall 'I -4 2bw'
loop_
_atom_site_label
_atom_site_fract_x
_atom_site_fract_y
_atom_site_fract_z
_atom_site_occupancy
Ba1 0.000 0.000 0.000 1
Y1 0.000 0.000 0.500 1
Os1 0.230 0.250 0.625 1
# formation enthalpy at 0 K: 4.62 eV/f.u.
# N(E_F): 6.48 states/eV/f.u.
# calculated total energy: -6.56 eV/atom
# volume: 378.9 Å³/cell
# magnetization: 0.001 μB/f.u.

***

# DyY5Zn6, optimized geometry, DFT PBE-GGA
data_DyY5Zn6
_chemical_formula_sum 'Dy2 Y10 Zn12'
_cell_length_a 5.057
_cell_length_b 15.174
_cell_length_c 7.173
_cell_angle_alpha 90.00
_cell_angle_beta 90.00
_cell_angle_gamma 90.00
_space_group_name_H-M_alt 'C m m m'
_space_group_IT_number 65
_space_group_name_Hall '-C 2 2'
loop_
_atom_site_label
_atom_site_fract_x
_atom_site_fract_y
_atom_site_fract_z
_atom_site_occupancy
Dy1 0.000 0.000 0.000 1
Y1 0.000 0.000 0.500 1
Y2 0.000 0.333 0.000 1
Y3 0.000 0.333 0.500 1
Zn1 0.000 0.166 0.250 1
Zn2 0.000 0.500 0.249 1
# formation enthalpy at 0 K: -4.28 eV/f.u.
# N(E_F): 13.89 states/eV/f.u.
# calculated total energy: -4.07 eV/atom
# volume: 550.4 Å³/cell
# magnetization: 0.002 μB/f.u.

***

# CsCaMn2Cr, optimized geometry, DFT PBE-GGA
data_CsCaMn2Cr
_chemical_formula_sum 'Cs1 Ca1 Mn2 Cr1'
_cell_length_a 5.385
_cell_length_b 5.385
_cell_length_c 5.300
_cell_angle_alpha 90.00
_cell_angle_beta 90.00
_cell_angle_gamma 90.00
_space_group_name_H-M_alt 'P 4/m m m'
_space_group_IT_number 123
_space_group_name_Hall '-P 4 2'
loop_
_atom_site_label
_atom_site_fract_x
_atom_site_fract_y
_atom_site_fract_z
_atom_site_occupancy
Cs1 0.000 0.000 0.000 1
Ca1 0.500 0.500 0.500 1
Mn1 0.000 0.500 0.000 1
Cr1 0.000 0.000 0.500 1
# formation enthalpy at 0 K: 9.89 eV/f.u.
# N(E_F): 5.84 states/eV/f.u.
# calculated total energy: -4.19 eV/atom
# volume: 153.7 Å³/cell
# magnetization: 11.596 μB/f.u.

***

# NbZn3Ag2, optimized geometry, DFT PBE-GGA
data_NbZn3Ag2
_chemical_formula_sum 'Nb1 Zn3 Ag2'
_cell_length_a 2.881
_cell_length_b 2.881
_cell_length_c 11.715
_cell_angle_alpha 90.00
_cell_angle_beta 90.00
_cell_angle_gamma 90.00
_space_group_name_H-M_alt 'P 4/m m m'
_space_group_IT_number 123
_space_group_name_Hall '-P 4 2'
loop_
_atom_site_label
_atom_site_fract_x
_atom_site_fract_y
_atom_site_fract_z
_atom_site_occupancy
Nb1 0.000 0.000 0.000 1
Zn1 0.500 0.500 0.170 1
Zn2 0.500 0.500 0.500 1
Ag1 0.000 0.000 0.335 1
# formation enthalpy at 0 K: -0.32 eV/f.u.
# N(E_F): 2.02 states/eV/f.u.
# calculated total energy: -3.32 eV/atom
# volume: 97.2 Å³/cell
# magnetization: 0.000 μB/f.u.

***

# Rb2NaSbI6, optimized geometry, DFT PBE-GGA
data_Rb2NaSbI6
_chemical_formula_sum 'Rb4 Na2 Sb2 I12'
_cell_length_a 8.429
_cell_length_b 8.829
_cell_length_c 14.747
_cell_angle_alpha 90.00
_cell_angle_beta 124.74
_cell_angle_gamma 90.00
_space_group_name_H-M_alt 'P 1 21/c 1'
_space_group_IT_number 14
loop_
_space_group_symop_operation_xyz
'x,y,z'
'-x,-y,-z'
'-x,y+1/2,-z+1/2'
'x,-y+1/2,z+1/2'
loop_
_atom_site_label
_atom_site_fract_x
_atom_site_fract_y
_atom_site_fract_z
_atom_site_occupancy
Rb1 0.223 0.081 0.250 1
Na1 0.000 0.000 0.500 1
Sb1 0.500 0.000 0.000 1
I1 0.155 0.188 0.952 1
I2 0.272 0.707 0.955 1
I3 0.353 0.013 0.757 1
# N(E_F): 0.00 states/eV/f.u.
# calculated total energy: -2.65 eV/atom
# volume: 901.9 Å³/cell
# magnetization: 0.000 μB/f.u.

***

# NaAcSbAu, optimized geometry, DFT PBE-GGA
data_NaAcSbAu
_chemical_formula_sum 'Na4 Ac4 Sb4 Au4'
_cell_length_a 7.752
_cell_length_b 7.752
_cell_length_c 7.752
_cell_angle_alpha 90.00
_cell_angle_beta 90.00
_cell_angle_gamma 90.00
_space_group_name_H-M_alt 'F -4 3 m'
_space_group_IT_number 216
_space_group_name_Hall 'F -4 2 3'
loop_
_atom_site_label
_atom_site_fract_x
_atom_site_fract_y
_atom_site_fract_z
_atom_site_occupancy
Na1 0.000 0.000 0.000 1
Ac1 0.000 0.000 0.500 1
Sb1 0.250 0.250 0.250 1
Au1 0.250 0.250 0.750 1
# calculated total energy: -3.95 eV/atom
# volume: 465.9 Å³/cell
# magnetization: 0.000 μB/f.u.

***

# Cs3Li2BiI9, optimized geometry, DFT PBE-GGA
data_Cs3Li2BiI9
_chemical_formula_sum 'Cs3 Li2 Bi1 I9'
_cell_length_a 8.5369
_cell_length_b 8.5369
_cell_length_c 10.5510
_cell_angle_alpha 90.00
_cell_angle_beta 90.00
_cell_angle_gamma 120.00
_space_group_name_H-M_alt 'P -3 m 1'
_space_group_IT_number 164
_space_group_name_Hall '-P 3 2"'
loop_
_atom_site_label
_atom_site_fract_x
_atom_site_fract_y
_atom_site_fract_z
_atom_site_occupancy
Cs1 0.0000 0.0000 0.0000 1
Cs2 0.3333 0.6667 0.6726 1
Li1 0.3333 0.6667 0.1286 1
Bi1 0.0000 0.0000 0.5000 1
I1 0.0000 0.5000 0.0000 1
I2 0.1702 0.3404 0.3306 1
# N(E_F): 18.05 states/eV/f.u.
# calculated total energy: -2.64 eV/atom
# volume: 665.9 Å³/cell
# magnetization: 0.001 μB/f.u.

***

# Cd2P3Pt9, optimized geometry, DFT PBE-GGA
data_Cd2P3Pt9
_chemical_formula_sum 'Cd8 P12 Pt36'
_cell_length_a 12.862
_cell_length_b 7.144
_cell_length_c 10.937
_cell_angle_alpha 90.00
_cell_angle_beta 113.89
_cell_angle_gamma 90.00
_space_group_name_H-M_alt 'C 1 2/c 1'
_space_group_IT_number 15
loop_
_space_group_symop_operation_xyz
'x,y,z'
'-x,-y,-z'
'-x,y,-z+1/2'
'x,-y,z+1/2'
'x+1/2,y+1/2,z'
'-x+1/2,-y+1/2,-z'
'-x+1/2,y+1/2,-z+1/2'
'x+1/2,-y+1/2,z+1/2'
loop_
_atom_site_label
_atom_site_fract_x
_atom_site_fract_y
_atom_site_fract_z
_atom_site_occupancy
Cd1 0.190 0.042 0.244 1
P1 0.085 0.241 0.497 1
P2 0.250 0.250 0.000 1
Pt1 0.000 0.295 0.250 1
Pt2 0.075 0.055 0.900 1
Pt3 0.089 0.333 0.703 1
Pt4 0.108 0.346 0.078 1
Pt5 0.209 0.429 0.439 1
# formation enthalpy at 0 K: -3.89 eV/f.u.
# N(E_F): 4.65 states/eV/f.u.
# calculated total energy: -5.45 eV/atom
# volume: 918.9 Å³/cell
# magnetization: 0.000 μB/f.u.

***

# NdZrMnN3, optimized geometry, DFT PBE-GGA
data_NdZrMnN3
_chemical_formula_sum 'Nd2 Zr2 Mn2 N6'
_cell_length_a 7.218
_cell_length_b 3.270
_cell_length_c 7.223
_cell_angle_alpha 90.00
_cell_angle_beta 103.31
_cell_angle_gamma 90.00
_space_group_name_H-M_alt 'P 1 21/m 1'
_space_group_IT_number 11
loop_
_space_group_symop_operation_xyz
'x,y,z'
'-x,-y,-z'
'-x,y+1/2,-z'
'x,-y+1/2,z'
loop_
_atom_site_label
_atom_site_fract_x
_atom_site_fract_y
_atom_site_fract_z
_atom_site_occupancy
Nd1 0.207 0.250 0.189 1
Zr1 0.159 0.250 0.649 1
Mn1 0.406 0.750 0.918 1
N1 0.143 0.750 0.876 1
N2 0.154 0.750 0.435 1
N3 0.500 0.250 0.816 1
# N(E_F): 3.22 states/eV/f.u.
# calculated total energy: -8.98 eV/atom
# volume: 165.9 Å³/cell
# magnetization: 0.258 μB/f.u.

***

# PaTiTlS4, optimized geometry, DFT PBE-GGA
data_PaTiTlS4
_chemical_formula_sum 'Pa4 Ti4 Tl4 S16'
_cell_length_a 7.485
_cell_length_b 8.896
_cell_length_c 10.439
_cell_angle_alpha 90.00
_cell_angle_beta 90.00
_cell_angle_gamma 90.00
_space_group_name_H-M_alt 'I m m a'
_space_group_IT_number 74
_space_group_name_Hall '-I 2b 2'
loop_
_atom_site_label
_atom_site_fract_x
_atom_site_fract_y
_atom_site_fract_z
_atom_site_occupancy
Pa1 0.000 0.000 0.000 1
Ti1 0.250 0.250 0.250 1
Tl1 0.000 0.250 0.682 1
S1 0.000 0.066 0.252 1
S2 0.222 0.250 0.008 1
# N(E_F): 5.68 states/eV/f.u.
# calculated total energy: -6.36 eV/atom
# volume: 695.0 Å³/cell
# magnetization: 1.984 μB/f.u.

***

# Mn2CdSi, optimized geometry, DFT PBE-GGA
data_Mn2CdSi
_chemical_formula_sum 'Mn6 Cd3 Si3'
_cell_length_a 2.8332
_cell_length_b 2.8332
_cell_length_c 25.6435
_cell_angle_alpha 90.00
_cell_angle_beta 90.00
_cell_angle_gamma 120.00
_space_group_name_H-M_alt 'R -3 m'
_space_group_IT_number 166
_space_group_name_Hall '-R 3 2"'
loop_
_atom_site_label
_atom_site_fract_x
_atom_site_fract_y
_atom_site_fract_z
_atom_site_occupancy
Mn1 0.0000 0.0000 0.2404 1
Cd1 0.0000 0.0000 0.0000 1
Si1 0.0000 0.0000 0.5000 1
# N(E_F): 3.68 states/eV/f.u.
# calculated total energy: -5.98 eV/atom
# volume: 178.3 Å³/cell
# magnetization: 5.551 μB/f.u.

***

# Cs3RbSc, optimized geometry, DFT PBE-GGA
data_Cs3RbSc
_chemical_formula_sum 'Cs3 Rb1 Sc1'
_cell_length_a 7.771
_cell_length_b 7.771
_cell_length_c 7.771
_cell_angle_alpha 90.00
_cell_angle_beta 90.00
_cell_angle_gamma 90.00
_space_group_name_H-M_alt 'P m -3 m'
_space_group_IT_number 221
_space_group_name_Hall '-P 4 2 3'
loop_
_atom_site_label
_atom_site_fract_x
_atom_site_fract_y
_atom_site_fract_z
_atom_site_occupancy
Cs1 0.000 0.000 0.500 1
Rb1 0.500 0.500 0.500 1
Sc1 0.000 0.000 0.000 1
# formation enthalpy at 0 K: 3.06 eV/f.u.
# N(E_F): 13.57 states/eV/f.u.
# calculated total energy: -1.36 eV/atom
# volume: 469.4 Å³/cell
# magnetization: 3.004 μB/f.u.

***

# La4SmEr3Te8, optimized geometry, DFT PBE-GGA
data_La4SmEr3Te8
_chemical_formula_sum 'La12 Sm3 Er9 Te24'
_cell_length_a 8.8666
_cell_length_b 8.8666
_cell_length_c 22.2092
_cell_angle_alpha 90.00
_cell_angle_beta 90.00
_cell_angle_gamma 120.00
_space_group_name_H-M_alt 'R -3 m'
_space_group_IT_number 166
_space_group_name_Hall '-R 3 2"'
loop_
_atom_site_label
_atom_site_fract_x
_atom_site_fract_y
_atom_site_fract_z
_atom_site_occupancy
La1 0.0000 0.0000 0.0000 1
La2 0.0000 0.5000 0.0000 1
Sm1 0.0000 0.0000 0.5000 1
Er1 0.0000 0.5000 0.5000 1
Te1 0.0000 0.0000 0.2432 1
Te2 0.0052 0.5026 0.7556 1
# N(E_F): 12.07 states/eV/f.u.
# calculated total energy: -5.38 eV/atom
# volume: 1512.1 Å³/cell
# magnetization: 0.000 μB/f.u.

***

# Nd2HoTm4Th, optimized geometry, DFT PBE-GGA
data_Nd2HoTm4Th
_chemical_formula_sum 'Nd2 Ho1 Tm4 Th1'
_cell_length_a 5.057
_cell_length_b 5.072
_cell_length_c 9.892
_cell_angle_alpha 90.00
_cell_angle_beta 90.00
_cell_angle_gamma 90.00
_space_group_name_H-M_alt 'P m m m'
_space_group_IT_number 47
loop_
_space_group_symop_operation_xyz
'x,y,z'
'-x,-y,-z'
'-x,-y,z'
'x,y,-z'
'x,-y,-z'
'-x,y,z'
'-x,y,-z'
'x,-y,z'
loop_
_atom_site_label
_atom_site_fract_x
_atom_site_fract_y
_atom_site_fract_z
_atom_site_occupancy
Nd1 0.000 0.000 0.000 1
Nd2 0.500 0.500 0.500 1
Ho1 0.000 0.000 0.500 1
Tm1 0.000 0.500 0.247 1
Tm2 0.500 0.000 0.247 1
Th1 0.500 0.500 0.000 1
# formation enthalpy at 0 K: 0.27 eV/f.u.
# N(E_F): 11.52 states/eV/f.u.
# calculated total energy: -4.89 eV/atom
# volume: 253.7 Å³/cell
# magnetization: 0.000 μB/f.u.

***

# LiMg2Ag8, optimized geometry, DFT PBE-GGA
data_LiMg2Ag8
_chemical_formula_sum 'Li2 Mg4 Ag16'
_cell_length_a 7.523
_cell_length_b 12.934
_cell_length_c 5.030
_cell_angle_alpha 90.00
_cell_angle_beta 122.75
_cell_angle_gamma 90.00
_space_group_name_H-M_alt 'C 1 2/m 1'
_space_group_IT_number 12
loop_
_space_group_symop_operation_xyz
'x,y,z'
'-x,-y,-z'
'-x,y,-z'
'x,-y,z'
'x+1/2,y+1/2,z'
'-x+1/2,-y+1/2,-z'
'-x+1/2,y+1/2,-z'
'x+1/2,-y+1/2,z'
loop_
_atom_site_label
_atom_site_fract_x
_atom_site_fract_y
_atom_site_fract_z
_atom_site_occupancy
Li1 0.000 0.000 0.000 1
Mg1 0.000 0.306 0.500 1
Ag1 0.000 0.205 0.000 1
Ag2 0.097 0.500 0.815 1
Ag3 0.216 0.116 0.635 1
# formation enthalpy at 0 K: -0.43 eV/f.u.
# N(E_F): 1.99 states/eV/f.u.
# calculated total energy: -2.58 eV/atom
# volume: 411.6 Å³/cell
# magnetization: 0.000 μB/f.u.

***

# Li4Zr3CrS8, optimized geometry, DFT PBE-GGA
data_Li4Zr3CrS8
_chemical_formula_sum 'Li12 Zr9 Cr3 S24'
_cell_length_a 7.2257
_cell_length_b 7.2257
_cell_length_c 18.6046
_cell_angle_alpha 90.00
_cell_angle_beta 90.00
_cell_angle_gamma 120.00
_space_group_name_H-M_alt 'R -3 m'
_space_group_IT_number 166
_space_group_name_Hall '-R 3 2"'
loop_
_atom_site_label
_atom_site_fract_x
_atom_site_fract_y
_atom_site_fract_z
_atom_site_occupancy
Li1 0.0000 0.0000 0.0000 1
Li2 0.0000 0.5000 0.0000 1
Zr1 0.0000 0.5000 0.5000 1
Cr1 0.0000 0.0000 0.5000 1
S1 0.0000 0.0000 0.2508 1
S2 0.0103 0.5051 0.2477 1
# N(E_F): 8.28 states/eV/f.u.
# calculated total energy: -6.12 eV/atom
# volume: 841.2 Å³/cell
# magnetization: 3.268 μB/f.u.

***

# LaAlHIr2, optimized geometry, DFT PBE-GGA
data_LaAlHIr2
_chemical_formula_sum 'La1 Al1 H1 Ir2'
_cell_length_a 5.012
_cell_length_b 5.012
_cell_length_c 6.227
_cell_angle_alpha 90.00
_cell_angle_beta 90.00
_cell_angle_gamma 90.00
_space_group_name_H-M_alt 'P 4/m m m'
_space_group_IT_number 123
_space_group_name_Hall '-P 4 2'
loop_
_atom_site_label
_atom_site_fract_x
_atom_site_fract_y
_atom_site_fract_z
_atom_site_occupancy
La1 0.000 0.000 0.000 1
Al1 0.000 0.000 0.500 1
H1 0.500 0.500 0.500 1
Ir1 0.000 0.500 0.000 1
# N(E_F): 2.97 states/eV/f.u.
# calculated total energy: -3.97 eV/atom
# volume: 156.4 Å³/cell
# magnetization: 0.937 μB/f.u.